# 1
First-principles (GGA-PBE) data for a relaxed V2Ge3Os crystal, as listed in Alexandria via LeMat-Bulk.

Lattice parameters (Å, degrees): 5.707 5.707 5.707 139.33 126.90 68.97
Sites, in units of the cell vectors:
V: 0.175 0.175 0.000
V: 0.825 0.825 0.000
Ge: 0.000 0.500 0.500
Ge: 0.336 0.836 0.500
Ge: 0.664 0.164 0.500
Os: 0.500 0.500 0.000

Properties
energy relative to the elements: 0.3003 eV per atom
energy: -6.92 eV/atom

=====

# 2
First-principles (GGA-PBE) data for a relaxed SiSb4Pb crystal, as listed in Alexandria via LeMat-Bulk.

Lattice parameters (Å, degrees): 6.257 6.257 6.257 60.00 60.00 60.00
Sites, in units of the cell vectors:
Si: 0.000 0.000 0.000
Sb: 0.375 0.375 0.375
Sb: 0.375 0.375 0.876
Sb: 0.375 0.876 0.375
Sb: 0.876 0.375 0.375
Pb: 0.750 0.750 0.750

Properties
energy: -3.74 eV/atom
energy relative to the elements, uncorrected: 533 meV per atom

=====

# 3
First-principles (GGA-PBE) data for a relaxed Tl2ReCl crystal, as listed in Alexandria via LeMat-Bulk.

Lattice parameters (Å, degrees): 7.820 7.820 7.820 158.28 147.17 39.71
Sites, in units of the cell vectors:
Tl: 0.177 0.177 0.000
Tl: 0.823 0.823 0.000
Re: 0.000 0.500 0.500
Cl: 0.500 0.000 0.500

Properties
energy: -4.02 eV/atom
energy relative to the elements, uncorrected: 741 meV per atom
offset from the most stable computed form: 262 meV/atom

=====

# 4
First-principles (GGA-PBE) data for a relaxed CrAuCl2 crystal, as listed in Alexandria via LeMat-Bulk.

Lattice parameters (Å, degrees): 3.584 3.877 6.118 90.00 90.00 90.00
Sites, in units of the cell vectors:
Cr: 0.000 0.000 0.000
Au: 0.500 0.000 0.500
Cl: 0.000 0.500 0.500
Cl: 0.500 0.500 0.000

Properties
energy: -4.13 eV/atom
energy relative to the elements, uncorrected: 19 meV per atom
offset from the most stable computed form: 427 meV/atom

=====

# 5
First-principles (GGA-PBE) data for a relaxed LiNd5O8 crystal, as listed in Alexandria via LeMat-Bulk.

Lattice parameters (Å, degrees): 6.364 6.364 6.364 109.22 109.22 109.97
Sites, in units of the cell vectors:
Li: 0.000 0.000 0.000
Nd: 0.224 0.116 0.604
Nd: 0.380 0.776 0.892
Nd: 0.512 0.620 0.396
Nd: 0.750 0.250 0.500
Nd: 0.884 0.488 0.108
O: 0.117 0.369 0.383
O: 0.130 0.395 0.882
O: 0.266 0.883 0.252
O: 0.513 0.248 0.118
O: 0.605 0.487 0.735
O: 0.631 0.013 0.748
O: 0.752 0.870 0.265
O: 0.987 0.734 0.617

Properties
energy: -7.73 eV/atom
energy relative to the elements, uncorrected: -3057 meV per atom

=====

# 6
First-principles (GGA-PBE) data for a relaxed In2FeBI crystal, as listed in Alexandria via LeMat-Bulk.

Lattice parameters (Å, degrees): 5.031 5.031 5.000 90.00 90.00 90.00
Sites, in units of the cell vectors:
In: 0.000 0.500 0.000
In: 0.500 0.000 0.000
Fe: 0.000 0.000 0.000
B: 0.500 0.500 0.500
I: 0.000 0.000 0.500

Properties
energy: -3.17 eV/atom
energy relative to the elements, uncorrected: 1268 meV per atom

=====

# 7
First-principles (GGA-PBE) data for a relaxed Li2PCl crystal, as listed in Alexandria via LeMat-Bulk.

Lattice parameters (Å, degrees): 4.742 4.742 4.742 127.14 127.14 78.02
Sites, in units of the cell vectors:
Li: 0.250 0.750 0.500
Li: 0.750 0.250 0.500
P: 0.000 0.000 0.000
Cl: 0.500 0.500 0.000

Properties
energy: -3.18 eV/atom
energy relative to the elements, uncorrected: -411 meV per atom
offset from the most stable computed form: 432 meV/atom

=====

# 8
First-principles (GGA-PBE) data for a relaxed Li2CeHg crystal, as listed in Alexandria via LeMat-Bulk.

Lattice parameters (Å, degrees): 3.361 3.361 7.644 90.00 90.00 90.00
Sites, in units of the cell vectors:
Li: 0.000 0.000 0.191
Li: 0.000 0.000 0.809
Ce: 0.500 0.500 0.500
Hg: 0.500 0.500 0.000

Properties
energy relative to the elements: -0.0534 eV per atom
energy: -2.57 eV/atom
offset from the most stable computed form: 8 meV/atom